# 1
Computed, not measured: a relaxed structure of TiBTeP at the PBE-GGA level of DFT.

a = 3.2076 Å, b = 3.2076 Å, c = 8.2083 Å
α = 90.00°, β = 90.00°, γ = 120.00°
Closest atoms and distances in Å follow each position.
Sites, in units of the cell vectors:
B 0.3333 0.6667 0.2901  3 P 2.00
P 0.6667 0.3333 0.1987  3 B 2.00
Te 0.3333 0.6667 0.7589  3 Ti 2.87, 6 Te 3.21
Ti 0.6667 0.3333 0.4919  1 P 2.41, 3 B 2.48

- total moment (μB per atom) = 0.1649
- distance to the lowest polymorph of the same formula (eV/atom) = 0.147
- uncorrected formation energy (eV/atom) = -0.271

# 2
Computed, not measured: a relaxed structure of TiBTeP at the PBE-GGA level of DFT.

a = 3.2736 Å, b = 3.4978 Å, c = 6.6492 Å
α = 75.11°, β = 89.84°, γ = 90.00°
Closest atoms and distances in Å follow each position.
Sites, in units of the cell vectors:
Te 0.8778 0.2441 0.2649  1 B 2.34
P 0.3742 0.9836 0.7990  2 B 1.97
B 0.8752 0.0679 0.6288  2 P 1.97
Ti 0.3760 0.6193 0.5216  4 B 2.49, 2 P 2.50

- total moment (μB per atom) = 0.0000
- distance to the lowest polymorph of the same formula (eV/atom) = 0.124
- uncorrected formation energy (eV/atom) = -0.293

# 3
Computed, not measured: a relaxed structure of TiBTeP at the PBE-GGA level of DFT.

a = 3.3774 Å, b = 3.3413 Å, c = 6.7811 Å
α = 90.00°, β = 104.14°, γ = 90.00°
Closest atoms and distances in Å follow each position.
Sites, in units of the cell vectors:
B 0.9617 0.5000 0.0179  1 P 1.91
P 0.8190 0.5000 0.7280  1 B 1.91
Te 0.0750 0.0000 0.2499  2 B 2.26
Ti 0.4046 0.0000 0.9021  4 B 2.49-2.50, 4 P 2.64

- total moment (μB per atom) = 0.0000
- distance to the lowest polymorph of the same formula (eV/atom) = 0.206
- uncorrected formation energy (eV/atom) = -0.211

# 4
Computed, not measured: a relaxed structure of TiBTeP at the PBE-GGA level of DFT.

a = 3.1247 Å, b = 3.2940 Å, c = 15.0885 Å
α = 90.00°, β = 101.49°, γ = 90.00°
Closest atoms and distances in Å follow each position.
Sites, in units of the cell vectors:
Ti 0.9123 0.0000 0.1184  4 B 2.40, 2 P 2.51
Te 0.0740 0.5000 0.2768  2 Ti 2.86, 2 Te 3.12
B 0.3625 0.5000 0.0664  2 P 1.93
P 0.7894 0.0000 0.4902  2 B 1.93
P 0.7894 0.5000 0.9902  2 B 1.93
B 0.3625 0.0000 0.5664  2 P 1.93
Te 0.0740 0.0000 0.7768  2 Ti 2.86, 2 Te 3.12
Ti 0.9123 0.5000 0.6184  4 B 2.40, 2 P 2.51

- total moment (μB per atom) = 0.0000
- distance to the lowest polymorph of the same formula (eV/atom) = 0.195
- uncorrected formation energy (eV/atom) = -0.222

# 5
Computed, not measured: a relaxed structure of TiBTeP at the PBE-GGA level of DFT.

a = 3.2042 Å, b = 3.0607 Å, c = 8.1148 Å
α = 90.00°, β = 90.00°, γ = 90.00°
Closest atoms and distances in Å follow each position.
Sites, in units of the cell vectors:
Te 0.0000 0.5000 0.7540  2 Ti 2.95, 4 Te 3.06-3.20
Ti 0.0000 0.0000 0.4429  4 B 2.36, 2 P 2.55
B 0.5000 0.5000 0.3436  2 P 1.93
P 0.5000 0.0000 0.1992  2 B 1.93

- total moment (μB per atom) = 0.0000
- distance to the lowest polymorph of the same formula (eV/atom) = 0.201
- uncorrected formation energy (eV/atom) = -0.216

# 6
Computed, not measured: a relaxed structure of VB2TeP at the PBE-GGA level of DFT.

a = 4.1969 Å, b = 4.6329 Å, c = 4.1969 Å
α = 90.00°, β = 90.00°, γ = 90.00°
Closest atoms and distances in Å follow each position.
Sites, in units of the cell vectors:
P 0.0000 0.5000 0.0000  2 V 2.32
Te 0.5000 0.5000 0.5000  4 P 2.97, 8 B 3.13
B 0.5000 0.0000 0.0000  2 V 2.10
B 0.0000 0.0000 0.5000  2 V 2.10
V 0.0000 0.0000 0.0000  4 B 2.10, 2 P 2.32

- total moment (μB per atom) = 0.0000
- uncorrected formation energy (eV/atom) = 1.159

# 7
Computed, not measured: a relaxed structure of TiBP at the PBE-GGA level of DFT.

a = 3.1344 Å, b = 3.2709 Å, c = 6.9510 Å
α = 76.39°, β = 90.00°, γ = 90.00°
Closest atoms and distances in Å follow each position.
Sites, in units of the cell vectors:
P 0.7500 0.3195 0.3610  1 B 2.03
B 0.2500 0.5302 0.9396  2 B 1.77
P 0.2500 0.6805 0.6390  1 B 2.03
Ti 0.7500 0.0973 0.8054  6 B 2.38-2.44, 4 P 2.53
Ti 0.2500 0.9027 0.1946  6 B 2.38-2.44, 4 P 2.53
B 0.7500 0.4698 0.0604  2 B 1.77

- total moment (μB per atom) = 0.0000
- energy relative to the elements (kJ/mol of formula units) = -226

# 8
Computed, not measured: a relaxed structure of TiB3P at the PBE-GGA level of DFT.

a = 3.8003 Å, b = 3.8003 Å, c = 3.8003 Å
α = 90.00°, β = 90.00°, γ = 90.00°
Closest atoms and distances in Å follow each position.
Sites, in units of the cell vectors:
P 0.0000 0.0000 0.0000  6 B 1.90
B 0.0000 0.5000 0.0000  2 P 1.90
B 0.0000 0.0000 0.5000  2 P 1.90
Ti 0.5000 0.5000 0.5000  12 B 2.69
B 0.5000 0.0000 0.0000  2 P 1.90

- total moment (μB per atom) = 0.0000
- distance to the lowest polymorph of the same formula (eV/atom) = 0.000
- energy relative to the elements (kJ/mol of formula units) = 535

# 9
Computed, not measured: a relaxed structure of Ti5B2P at the PBE-GGA level of DFT.

a = 6.0401 Å, b = 6.0401 Å, c = 7.1163 Å
α = 115.11°, β = 115.11°, γ = 90.00°
Closest atoms and distances in Å follow each position.
Sites, in units of the cell vectors:
Ti 0.4612 0.3123 0.2735  3 B 2.35-2.41, 2 P 2.57
B 0.3916 0.8916 0.0000  1 B 1.85
B 0.6084 0.1084 0.0000  1 B 1.85
Ti 0.5000 0.5000 0.0000  4 B 2.45, 8 Ti 2.72
P 0.2500 0.2500 0.5000  10 Ti 2.57-2.85
B 0.1084 0.3916 0.0000  1 B 1.85
Ti 0.1877 0.0388 0.7265  3 B 2.35-2.41, 2 P 2.57
B 0.8916 0.6084 0.0000  1 B 1.85
P 0.7500 0.7500 0.5000  10 Ti 2.57-2.85
Ti 0.0388 0.5388 0.7265  3 B 2.35-2.41, 2 P 2.57
Ti 0.0000 0.0000 0.0000  4 B 2.45, 8 Ti 2.72
Ti 0.6877 0.1877 0.7265  3 B 2.35-2.41, 2 P 2.57
Ti 0.3123 0.8123 0.2735  3 B 2.35-2.41, 2 P 2.57
Ti 0.9612 0.4612 0.2735  3 B 2.35-2.41, 2 P 2.57
Ti 0.8123 0.9612 0.2735  3 B 2.35-2.41, 2 P 2.57
Ti 0.5388 0.6877 0.7265  3 B 2.35-2.41, 2 P 2.57

- total moment (μB per atom) = 0.0002
- energy relative to the elements (kJ/mol of formula units) = -608

# 10
Computed, not measured: a relaxed structure of TiBP2 at the PBE-GGA level of DFT.

a = 5.8020 Å, b = 5.8020 Å, c = 5.2712 Å
α = 56.61°, β = 56.61°, γ = 90.00°
Closest atoms and distances in Å follow each position.
Sites, in units of the cell vectors:
B 0.5000 0.5000 0.0000  4 P 1.94
P 0.5460 0.1250 0.2500  2 B 1.94
Ti 0.0000 0.0000 0.0000  4 P 2.54
Ti 0.7500 0.2500 0.5000  4 P 2.54
B 0.2500 0.7500 0.5000  4 P 1.94
P 0.3750 0.4540 0.7500  2 B 1.94
P 0.8750 0.7960 0.7500  2 B 1.94
P 0.2040 0.6250 0.2500  2 B 1.94

- total moment (μB per atom) = 0.0000
- distance to the lowest polymorph of the same formula (eV/atom) = 0.000
- energy relative to the elements (kJ/mol of formula units) = -92